VASP calculation (PBE-GGA) on a geometry-optimized Mn2FeBr structure.

a b c (Å): 3.0591 3.2098 7.0487
angles (deg): 89.90 90.00 90.00
Last column: magnetic moment on the atom in μB.
Fractional positions:
Mn: 0.0000 0.2509 0.5557  3.53
Mn: 0.0000 0.2491 0.9443  3.53
Fe: 0.5000 0.7500 0.7500  2.53
Br: 0.5000 0.2500 0.2500  0.01

Its uncorrected formation energy is 0.362 eV per atom. Its space group is P2/m (10). For the total magnetization, the calculation gives 9.93 Bohr magnetons per cell.


VASP calculation (PBE-GGA) on a geometry-optimized ThMgInN structure.

a b c (Å): 4.2004 4.2004 10.7189
angles (deg): 90.00 90.00 90.00
Fractional positions:
Mg: 0.5000 0.5000 0.5000
Mg: 0.0000 0.0000 0.5000
In: 0.5000 0.0000 0.7018
In: 0.0000 0.5000 0.2982
Th: 0.5000 0.0000 0.1017
Th: 0.0000 0.5000 0.8983
N: 0.5000 0.5000 0.0000
N: 0.0000 0.0000 0.0000

Its uncorrected formation energy is -0.798 eV per atom. Its space group is P4/nmm (129). For the total magnetization, the calculation gives 0.00 Bohr magnetons per cell.


VASP calculation (PBE-GGA) on a geometry-optimized Pm3Pb2Au structure.

a b c (Å): 3.6962 3.6962 12.4322
angles (deg): 90.00 90.00 90.00
Fractional positions:
Pm: 0.0000 0.0000 0.0000
Pm: 0.0000 0.0000 0.3516
Pm: 0.0000 0.0000 0.6484
Pb: 0.5000 0.5000 0.1767
Pb: 0.5000 0.5000 0.8233
Au: 0.5000 0.5000 0.5000

Its space group is P4/mmm (123). For the total magnetization, the calculation gives 0.00 Bohr magnetons per cell. As for the formation energy: -0.5922 eV per atom.


VASP calculation (PBE-GGA) on a geometry-optimized PrNd4Bi5 structure.

a b c (Å): 4.6210 6.5224 12.2067
angles (deg): 105.50 100.91 90.00
Fractional positions:
Bi: 0.1999 0.6999 0.3997
Bi: 0.8001 0.3001 0.6003
Bi: 0.0000 0.5000 0.0000
Bi: 0.6007 0.1007 0.2014
Bi: 0.3993 0.8993 0.7986
Nd: 0.7996 0.7996 0.5993
Nd: 0.4000 0.4000 0.7999
Nd: 0.6000 0.6000 0.2001
Nd: 0.2004 0.2004 0.4007
Pr: 0.0000 0.0000 0.0000

Its space group is Immm (71). For the total magnetization, the calculation gives 0.00 Bohr magnetons per cell. As for the formation energy: -0.9531 eV per atom.


VASP calculation (PBE-GGA) on a geometry-optimized Be2AuSe structure.

a b c (Å): 5.4384 5.4384 6.1386
angles (deg): 63.71 63.71 90.00
Fractional positions:
Be: 0.6076 0.1250 0.2500
Be: 0.1424 0.6250 0.2500
Be: 0.3750 0.3924 0.7500
Be: 0.8750 0.8576 0.7500
Au: 0.0000 0.0000 0.0000
Au: 0.7500 0.2500 0.5000
Se: 0.5000 0.5000 0.0000
Se: 0.2500 0.7500 0.5000

Its uncorrected formation energy is -0.074 eV per atom. Its space group is I-42d (122). For the total magnetization, the calculation gives 0.00 Bohr magnetons per cell.


VASP calculation (PBE-GGA) on a geometry-optimized CaEuHg2 structure.

a b c (Å): 5.4353 5.4353 5.4353
angles (deg): 60.00 60.00 60.00
Last column: magnetic moment on the atom in μB.
Fractional positions:
Hg: 0.5000 0.5000 0.5000  0.01
Hg: 0.0000 0.0000 0.0000  0.01
Ca: 0.2500 0.2500 0.2500  0.00
Eu: 0.7500 0.7500 0.7500  6.82

Its space group is Fm-3m (225). For the total magnetization, the calculation gives 7.08 Bohr magnetons per cell. As for the formation energy: -0.5450 eV per atom.


VASP calculation (PBE-GGA) on a geometry-optimized Pm2Ir3 structure.

a b c (Å): 4.5416 5.4131 5.5707
angles (deg): 119.07 114.05 90.00
Fractional positions:
Ir: 0.5000 0.2598 0.0000
Ir: 0.5000 0.7402 0.0000
Ir: 0.0000 0.0000 0.0000
Pm: 0.2005 0.7006 0.4012
Pm: 0.7995 0.2994 0.5988

Its space group is Immm (71). For the total magnetization, the calculation gives 0.00 Bohr magnetons per cell. As for the formation energy: -0.6407 eV per atom.


Please write out number 6 again, unchanged.
VASP calculation (PBE-GGA) on a geometry-optimized CaEuHg2 structure.

a b c (Å): 5.4353 5.4353 5.4353
angles (deg): 60.00 60.00 60.00
Last column: magnetic moment on the atom in μB.
Fractional positions:
Hg: 0.5000 0.5000 0.5000  0.01
Hg: 0.0000 0.0000 0.0000  0.01
Ca: 0.2500 0.2500 0.2500  0.00
Eu: 0.7500 0.7500 0.7500  6.82

Its space group is Fm-3m (225). For the total magnetization, the calculation gives 7.08 Bohr magnetons per cell. As for the formation energy: -0.5450 eV per atom.